Entry 1:
# Zr5Mo, optimized geometry, DFT PBE-GGA
data_Zr5Mo
_chemical_formula_sum 'Zr5 Mo1'
_cell_length_a 7.697
_cell_length_b 7.697
_cell_length_c 5.023
_cell_angle_alpha 90.00
_cell_angle_beta 90.00
_cell_angle_gamma 154.14
_symmetry_space_group_name_H-M 'P 1'
_symmetry_Int_Tables_number 1
loop_
_symmetry_equiv_pos_as_xyz
'x,y,z'
loop_
_atom_site_label
_atom_site_type_symbol
_atom_site_fract_x
_atom_site_fract_y
_atom_site_fract_z
Zr1 Zr 0.201 0.799 0.500
Zr2 Zr 0.370 0.630 0.000
Zr3 Zr 0.532 0.468 0.500
Zr4 Zr 0.673 0.327 0.000
Zr5 Zr 0.871 0.129 0.500
Mo1 Mo 0.021 0.979 0.000
# - Calculated formation energy: 0.080 eV/atom
# - E above lowest polymorph: 79 meV/atom
# - Space-group type: Amm2

Entry 2:
# Zr3Mo, optimized geometry, DFT PBE-GGA
data_Zr3Mo
_chemical_formula_sum 'Zr3 Mo1'
_cell_length_a 5.701
_cell_length_b 5.701
_cell_length_c 2.974
_cell_angle_alpha 90.00
_cell_angle_beta 90.00
_cell_angle_gamma 120.38
_symmetry_space_group_name_H-M 'P 1'
_symmetry_Int_Tables_number 1
loop_
_symmetry_equiv_pos_as_xyz
'x,y,z'
loop_
_atom_site_label
_atom_site_type_symbol
_atom_site_fract_x
_atom_site_fract_y
_atom_site_fract_z
Mo1 Mo 0.000 0.000 0.000
Zr1 Zr 0.000 0.500 0.500
Zr2 Zr 0.500 0.000 0.500
Zr3 Zr 0.500 0.500 0.000
# - Calculated formation energy: 0.218 eV/atom
# - E above lowest polymorph: 225 meV/atom
# - Space-group type: Cmmm

Entry 3:
# Zr3Mo5, optimized geometry, DFT PBE-GGA
data_Zr3Mo5
_chemical_formula_sum 'Zr6 Mo10'
_cell_length_a 7.943
_cell_length_b 7.876
_cell_length_c 7.949
_cell_angle_alpha 93.90
_cell_angle_beta 99.96
_cell_angle_gamma 140.04
_symmetry_space_group_name_H-M 'P 1'
_symmetry_Int_Tables_number 1
loop_
_symmetry_equiv_pos_as_xyz
'x,y,z'
loop_
_atom_site_label
_atom_site_type_symbol
_atom_site_fract_x
_atom_site_fract_y
_atom_site_fract_z
Mo1 Mo 0.250 0.744 0.494
Mo2 Mo 0.749 0.244 0.493
Mo3 Mo 0.765 0.079 0.854
Mo4 Mo 0.271 0.969 0.230
Mo5 Mo 0.724 0.578 0.314
Mo6 Mo 0.238 0.469 0.698
Mo7 Mo 0.562 0.200 0.775
Mo8 Mo 0.453 0.743 0.186
Mo9 Mo 0.055 0.241 0.289
Mo10 Mo 0.925 0.700 0.638
Zr1 Zr 0.759 0.714 0.967
Zr2 Zr 0.247 0.216 0.956
Zr3 Zr 0.305 0.209 0.523
Zr4 Zr 0.697 0.843 0.535
Zr5 Zr 0.185 0.709 0.904
Zr6 Zr 0.808 0.343 0.145
# - Calculated formation energy: 0.276 eV/atom
# - E above lowest polymorph: 230 meV/atom
# - Space-group type: P1